Record 1
# Np2InRh4Au

A geometry-optimized Np2InRh4Au structure (PBE, the Alexandria database).

The space group is Cmcm (No. 63) and the conventional cell measures 4.118, 10.440 and 14.434 Å, with angles of 90.00, 90.00 and 90.00 degrees. The asymmetric unit holds Np at (0.000, 0.148, 0.080), In at (0.000, 0.387, 0.250), Rh at (0.000, 0.043, 0.250), Rh at (0.000, 0.139, 0.597), Rh at (0.000, 0.500, 0.000) and Au at (0.000, 0.296, 0.750).

Its formation enthalpy at 0 K is -0.155 eV/atom.

---

Record 2
# TcPd2Pt2

A geometry-optimized TcPd2Pt2 structure (PBE, the Alexandria database).

The space group is I4/mmm (No. 139) and the conventional cell measures 2.764, 2.764 and 19.924 Å, with angles of 90.00, 90.00 and 90.00 degrees. The asymmetric unit holds Tc at (0.000, 0.000, 0.000), Pd at (0.000, 0.000, 0.199) and Pt at (0.000, 0.000, 0.405).

Its formation enthalpy at 0 K is -0.141 eV/atom. The value obtained for the energy relative to the lowest polymorph listed for this composition is 0.00 eV/f.u.

---

Record 3
# CsNaSi2

A geometry-optimized CsNaSi2 structure (PBE, the Alexandria database).

The space group is Pnma (No. 62) and the conventional cell measures 8.422, 7.064 and 8.990 Å, with angles of 90.00, 90.00 and 90.00 degrees. The asymmetric unit holds Cs at (0.001, 0.250, 0.151), Na at (0.192, 0.250, 0.687) and Si at (0.112, 0.587, 0.457).

For the raw formation energy, the calculation gives 0.0666 eV/atom. The value obtained for the energy relative to the lowest polymorph listed for this composition is 0.00 eV/f.u.

---

Record 4
# Y12Fe6Pb

A geometry-optimized Y12Fe6Pb structure (PBE, the Alexandria database).

The space group is Im-3 (No. 204) and the conventional cell measures 9.782, 9.782 and 9.782 Å, with angles of 90.00, 90.00 and 90.00 degrees. The asymmetric unit holds Y at (0.000, 0.196, 0.300), Fe at (0.000, 0.392, 0.500) and Pb at (0.000, 0.000, 0.000).

Its formation enthalpy at 0 K is -0.096 eV/atom.

---

Record 5
# Sr2Cu3Pt

A geometry-optimized Sr2Cu3Pt structure (PBE, the Alexandria database).

The space group is Pmm2 (No. 25) and the conventional cell measures 4.216, 4.327 and 7.488 Å, with angles of 90.00, 90.00 and 90.00 degrees. The asymmetric unit holds Sr at (0.000, 0.000, 0.000), Sr at (0.000, 0.500, 0.480), Cu at (0.500, 0.000, 0.662), Cu at (0.500, 0.500, 0.150), Cu at (0.500, 0.500, 0.822) and Pt at (0.500, 0.000, 0.325).

Its formation enthalpy at 0 K is -0.311 eV/atom.

---

Record 6
# HoThZnAu

A geometry-optimized HoThZnAu structure (PBE, the Alexandria database).

The space group is Amm2 (No. 38) and the conventional cell measures 4.544, 3.816 and 11.381 Å, with angles of 90.00, 90.00 and 90.00 degrees. The asymmetric unit holds Ho at (0.000, 0.000, 0.000), Th at (0.500, 0.000, 0.290), Zn at (0.000, 0.000, 0.717) and Au at (0.500, 0.000, 0.565).

Its formation enthalpy at 0 K is -0.482 eV/atom. The value obtained for the energy relative to the lowest polymorph listed for this composition is 0.00 eV/f.u.